KCrI2O | GGA+U | optimized geometry

Calculated values
Magnetization = 2.99 μB per formula unit
Excess energy over the best structure of this formula in the dataset = 1258 meV per atom
Uncorrected energy = -3.08 eV per atom
Fermi-level density of states = 7.44 states/eV/f.u.

Lattice parameters (Å, degrees): 6.4167 6.4167 4.7920 90.00 90.00 90.00
Each line ends with the local moment (μB).
Positions (direct):
1 I 0.0000 0.5000 0.0000  -0.16
2 I 0.5000 0.0000 0.0000  -0.16
3 Cr 0.5000 0.5000 0.5000  4.53
4 K 0.0000 0.0000 0.0000  -0.01
5 O 0.0000 0.0000 0.5000  -1.13